First-principles (PBE) data for a relaxed Zn3PtSe crystal, as listed in Alexandria.

Summary:
Formation energy without anion corrections ... 69 meV/atom
Distance to the lowest polymorph of the same formula ... 0 meV/atom
Crystal system ... cubic

Cell: 4.827 4.827 4.827 Å, 90.00 90.00 90.00°
Fractional coordinates of all 5 atoms:
Zn: 0.000 0.000 0.500
Zn: 0.000 0.500 0.000
Zn: 0.500 0.000 0.000
Pt: 0.000 0.000 0.000
Se: 0.500 0.500 0.500

=====

First-principles (PBE) data for a relaxed Cs3Cd4Pb crystal, as listed in Alexandria.

Summary:
E_form ... -0.0725 eV per atom
Crystal system ... monoclinic

Cell: 7.663 7.663 7.669 Å, 113.87 113.87 58.09°
Fractional coordinates of all 8 atoms:
Cs: 0.000 0.000 0.000
Cs: 0.045 0.578 0.421
Cs: 0.422 0.955 0.579
Cd: 0.009 0.445 0.867
Cd: 0.435 0.423 0.098
Cd: 0.555 0.991 0.133
Cd: 0.577 0.565 0.902
Pb: 0.714 0.286 0.500

=====

First-principles (PBE) data for a relaxed Hg2RuPb crystal, as listed in Alexandria.

Summary:
E_form ... 0.5107 eV per atom
Crystal system ... tetragonal

Cell: 5.463 5.463 5.463 Å, 133.62 133.62 67.68°
Fractional coordinates of all 4 atoms:
Hg: 0.000 0.000 0.000
Hg: 0.750 0.250 0.500
Ru: 0.500 0.500 0.000
Pb: 0.250 0.750 0.500

=====

First-principles (PBE) data for a relaxed SrNiGe2 crystal, as listed in Alexandria.

Summary:
E_form ... -0.5062 eV per atom
Crystal system ... trigonal

Cell: 6.263 6.263 6.263 Å, 37.84 37.84 37.84°
Fractional coordinates of all 4 atoms:
Sr: 0.000 0.000 0.000
Ni: 0.500 0.500 0.500
Ge: 0.211 0.211 0.211
Ge: 0.789 0.789 0.789

=====

First-principles (PBE) data for a relaxed ZrSnSeI2 crystal, as listed in Alexandria.

Summary:
Formation energy without anion corrections ... 476 meV/atom
Crystal system ... tetragonal

Cell: 5.961 5.961 5.086 Å, 90.00 90.00 90.00°
Fractional coordinates of all 5 atoms:
Zr: 0.000 0.000 0.000
Sn: 0.500 0.500 0.000
Se: 0.000 0.000 0.500
I: 0.000 0.500 0.500
I: 0.500 0.000 0.500

=====

First-principles (PBE) data for a relaxed AlPbSe3 crystal, as listed in Alexandria.

Summary:
Formation energy without anion corrections ... -318 meV/atom
Distance to the lowest polymorph of the same formula ... 173 meV/atom
Crystal system ... cubic

Cell: 4.965 4.965 4.965 Å, 90.00 90.00 90.00°
Fractional coordinates of all 5 atoms:
Al: 0.000 0.000 0.000
Pb: 0.500 0.500 0.500
Se: 0.000 0.000 0.500
Se: 0.000 0.500 0.000
Se: 0.500 0.000 0.000